8
Lattice="5.4788 0.0000 0.0000 0.0000 7.3366 0.0000 0.0000 0.0000 3.6500" Properties=species:S:1:pos:R:3 comment="PBE-GGA CdAgP2, relaxed" dos_at_fermi_per_ev_cell=4.2 spacegroup="Cmmm (65)" total_magnetization_mub_per_atom=0.000 e_form_mev_per_atom=434 pbc="T T T"
Cd 0.0000 0.0000 0.0000
Cd 2.7394 3.6683 0.0000
Ag 0.0000 3.6683 0.0000
Ag 2.7394 0.0000 0.0000
P 1.3697 1.8341 1.8250
P 1.3697 5.5024 1.8250
P 4.1091 1.8341 1.8250
P 4.1091 5.5024 1.8250